The following is a DFT calculation (PBE-GGA) of a relaxed structure of RbLuSc.

Unit cell a=8.2342 b=8.2342 c=8.2342 alpha=90.00 beta=90.00 gamma=90.00
Last column: nearest neighbours and their distance in Å.
Space group F-43m (No. 216)
Symmetry-distinct sites (fractional):
Rb 0.0000 0.0000 0.0000 x4  4 Sc 3.57
Lu 0.0000 0.0000 0.5000 x4  4 Sc 3.57
Sc 0.2500 0.2500 0.7500 x4  4 Rb 3.57, 4 Lu 3.57

Output
E above lowest polymorph in eV/atom: 0.000
Volume in Å³ per cell: 558.3